Material: Cs2AlAsSe4
Method: DFT, PBE-GGA
State: relaxed

Values from the calculation:
Spin magnetization ... 0.0 μB per cell
N(E_F) ... 0.000 states/eV per atom
Crystal system ... orthorhombic
Uncorrected formation energy ... -869 meV per atom
SG ... Fddd, No. 70

a b c (Å): 14.818 13.227 8.084
angles (deg): 84.44 62.67 32.89
Positions (direct):
Cs 0.054 0.054 0.696
Cs 0.304 0.304 0.946
Cs 0.696 0.696 0.054
Cs 0.946 0.946 0.304
Al 0.125 0.125 0.125
Al 0.875 0.875 0.875
As 0.375 0.375 0.375
As 0.625 0.625 0.625
Se 0.043 0.311 0.393
Se 0.247 0.607 0.689
Se 0.311 0.043 0.753
Se 0.393 0.753 0.043
Se 0.607 0.247 0.957
Se 0.689 0.957 0.247
Se 0.753 0.393 0.311
Se 0.957 0.689 0.607